Compound: TmScRh
Source: the Alexandria database
Functional: PBE-GGA
Structure: optimized geometry

Computed properties:
- ΔE_f: -0.61 eV per atom
- Crystal system: cubic
- Excess energy over the best structure of this formula in the dataset: 96.7 meV per atom
- Final energy: -6.66 eV/atom

a = 4.6305 Å, b = 4.6305 Å, c = 4.6305 Å
α = 60.00°, β = 60.00°, γ = 60.00°
Last column: nearest neighbours and their distance in Å.
Fractional coordinates of all 3 atoms:
Sc  0.5000  0.5000  0.5000  4 Rh 2.84
Tm  0.0000  0.0000  0.0000  4 Rh 2.84
Rh  0.2500  0.2500  0.2500  4 Tm 2.84, 4 Sc 2.84